(1)
## Ba2Ca (PBE)

Data for a geometry-optimized Ba2Ca structure.

Structure (extended XYZ):
```
6
Lattice="4.129 0.000 0.000 0.000 4.129 0.000 -2.064 -2.064 19.913" Properties=species:S:1:pos:R:3 pbc="T T T"
Ba 0.000 2.064 6.861
Ba 2.064 2.064 3.095
Ba 0.000 2.064 13.052
Ba 0.000 0.000 16.817
Ca 2.064 0.000 9.956
Ca 0.000 0.000 0.000
```

Symmetry ... I4_1/amd
VASP energy ... -5.56 eV/f.u.



(2)
## Ba17Ca12 (PBE)

Data for a geometry-optimized Ba17Ca12 structure.

Structure (extended XYZ):
```
29
Lattice="12.767 0.000 0.000 -4.256 12.036 0.000 -4.256 -6.018 10.424" Properties=species:S:1:pos:R:3 pbc="T T T"
Ba 4.645 -0.770 7.141
Ba 0.390 6.237 4.237
Ba 1.495 -3.572 6.187
Ba 6.237 -1.895 3.283
Ba 1.495 7.144 0.000
Ba 6.237 3.791 0.000
Ba 0.390 0.551 7.520
Ba 4.645 6.569 2.904
Ba -3.866 5.248 3.283
Ba -3.866 0.219 6.187
Ba -2.274 4.123 7.141
Ba 5.751 2.446 4.237
Ba -1.502 4.249 0.000
Ba 2.753 3.894 6.744
Ba -1.502 -2.125 3.680
Ba 4.507 0.000 0.000
Ba 0.000 0.000 0.000
Ca -1.915 8.718 1.906
Ca 2.341 0.009 3.827
Ca 7.739 -3.809 6.597
Ca 4.602 -4.918 8.518
Ca 7.739 7.617 0.000
Ca 4.602 9.836 0.000
Ca 2.341 3.310 1.921
Ca -1.915 -2.708 8.503
Ca -6.171 2.699 8.518
Ca -6.171 6.027 6.597
Ca 8.857 1.100 1.906
Ca -0.772 2.210 3.827
```

Symmetry ... I-43m
VASP energy ... -55.35 eV/f.u.



(3)
## BaCa3 (PBE)

Data for a geometry-optimized BaCa3 structure.

Structure (extended XYZ):
```
4
Lattice="6.966 -0.004 0.008 5.810 3.843 0.008 1.062 0.319 6.988" Properties=species:S:1:pos:R:3 pbc="T T T"
Ca 6.919 2.079 3.501
Ca 10.422 3.131 5.175
Ca 3.417 1.027 1.828
Ba 0.000 0.000 0.000
```

Symmetry ... C2/m
VASP energy ... -7.79 eV/f.u.



(4)
## Ba5Ca4 (PBE)

Data for a geometry-optimized Ba5Ca4 structure.

Structure (extended XYZ):
```
9
Lattice="6.107 0.000 1.216 3.053 8.808 0.608 1.333 0.000 9.247" Properties=species:S:1:pos:R:3 pbc="T T T"
Ba 0.000 0.000 0.000
Ba 6.107 5.796 1.216
Ba 3.053 3.012 0.608
Ba 2.465 0.000 3.563
Ba 4.975 0.000 6.900
Ca 5.511 3.048 4.206
Ca 4.982 5.760 6.865
Ca 1.928 3.048 6.257
Ca 2.458 5.760 3.598
```

Symmetry ... I4/mmm
VASP energy ... -17.25 eV/f.u.



(5)
## Ba3Ca (PBE)

Data for a geometry-optimized Ba3Ca structure.

Structure (extended XYZ):
```
4
Lattice="8.041 0.012 0.023 3.611 7.185 -0.023 -5.093 -4.786 3.977" Properties=species:S:1:pos:R:3 pbc="T T T"
Ca 2.172 2.998 1.977
Ba 0.087 0.054 0.000
Ba 4.387 -0.588 2.000
Ba 5.739 3.545 0.000
```

Symmetry ... Immm
VASP energy ... -7.67 eV/f.u.



(6)
## Ba3Ca4 (PBE)

Data for a geometry-optimized Ba3Ca4 structure.

Structure (extended XYZ):
```
7
Lattice="-2.297 -0.968 -7.175 -3.291 -3.931 5.605 -4.878 5.292 0.848" Properties=species:S:1:pos:R:3 pbc="T T T"
Ba -1.646 -1.966 2.802
Ba -2.794 -2.450 -0.785
Ba -1.149 -0.484 -3.588
Ca -1.248 1.354 0.217
Ca -3.630 3.939 0.631
Ca -5.068 0.690 -2.492
Ca -5.399 -0.297 1.768
```

Symmetry ... P6/mmm
VASP energy ... -12.66 eV/f.u.



(7)
## Ba2Ca3 (PBE)

Data for a geometry-optimized Ba2Ca3 structure.

Structure (extended XYZ):
```
10
Lattice="11.181 0.000 0.000 5.591 9.683 0.000 5.591 3.228 4.508" Properties=species:S:1:pos:R:3 pbc="T T T"
Ca 9.264 9.683 3.381
Ca 14.935 6.502 3.381
Ca 9.345 3.181 3.381
Ca 7.427 6.409 1.127
Ca 13.018 9.730 1.127
Ca 13.098 3.228 1.127
Ba 16.772 9.683 1.684
Ba 11.181 6.456 3.938
Ba 5.591 3.228 2.824
Ba 11.181 6.456 0.570
```

Symmetry ... R-3c
VASP energy ... -8.66 eV/f.u.



(8)
## Ba4Ca (PBE)

Data for a geometry-optimized Ba4Ca structure.

Structure (extended XYZ):
```
10
Lattice="8.012 2.547 0.000 0.748 6.752 0.000 0.000 0.000 11.733" Properties=species:S:1:pos:R:3 pbc="T T T"
Ba 2.211 6.589 3.961
Ba 6.922 6.087 3.961
Ba 2.125 3.170 1.115
Ba 6.261 2.753 1.115
Ba 6.635 6.129 10.618
Ba 2.499 6.546 10.618
Ba 1.837 3.213 7.771
Ba 6.548 2.710 7.771
Ca 4.567 6.338 7.113
Ca 4.193 2.961 4.620
```

Symmetry ... P2/c
VASP energy ... -9.10 eV/f.u.



(9)
## Ba2Ca (PBE)

Data for a geometry-optimized Ba2Ca structure.

Structure (extended XYZ):
```
3
Lattice="-5.853 2.842 1.483 -4.251 -3.073 4.126 -1.067 2.444 6.117" Properties=species:S:1:pos:R:3 pbc="T T T"
Ca 0.000 0.000 0.000
Ba -8.378 1.660 8.795
Ba -2.793 0.553 2.932
```

Symmetry ... Fm-3m
VASP energy ... -4.74 eV/f.u.



(10)
## BaCa (PBE)

Data for a geometry-optimized BaCa structure.

Structure (extended XYZ):
```
12
Lattice="11.415 0.000 0.000 0.000 11.415 0.000 0.000 0.000 11.415" Properties=species:S:1:pos:R:3 pbc="T T T"
Ba 2.854 5.707 0.000
Ba 8.561 5.707 0.000
Ba 5.707 0.000 2.854
Ba 5.707 0.000 8.561
Ba 0.000 2.854 5.707
Ba 0.000 8.561 5.707
Ca 2.854 0.000 5.707
Ca 8.561 0.000 5.707
Ca 0.000 5.707 2.854
Ca 0.000 5.707 8.561
Ca 5.707 2.854 0.000
Ca 5.707 8.561 0.000
```

Symmetry ... Pm-3n
VASP energy ... -1.82 eV/f.u.



(11)
## Ba2Ca3 (PBE)

Data for a geometry-optimized Ba2Ca3 structure.

Structure (extended XYZ):
```
20
Lattice="-1.892 -5.453 -2.800 11.219 0.477 -8.509 6.089 -6.061 7.689" Properties=species:S:1:pos:R:3 pbc="T T T"
Ba 11.142 -1.659 -7.966
Ba 7.050 -3.415 -1.796
Ba 10.832 -6.409 1.494
Ba 3.701 -5.140 3.827
Ba 4.274 -9.379 4.345
Ba 8.367 -7.623 -1.825
Ba 4.584 -4.629 -5.114
Ba 11.715 -5.898 -7.448
Ca 13.711 -6.059 -1.175
Ca 7.059 -5.225 1.765
Ca 8.252 -2.040 -5.313
Ca 3.703 -3.298 0.282
Ca 1.705 -4.978 -2.445
Ca 8.357 -5.813 -5.386
Ca 7.164 -8.998 1.693
Ca 11.714 -7.739 -3.903
Ca 6.991 -3.745 -8.489
Ca 4.435 -6.989 -0.377
Ca 2.336 -1.232 -2.821
Ca 10.982 -4.049 -3.244
```

Symmetry ... Pbcn
VASP energy ... -9.44 eV/f.u.



(12)
## BaCa2 (PBE)

Data for a geometry-optimized BaCa2 structure.

Structure (extended XYZ):
```
6
Lattice="-2.478 2.478 12.920 2.478 -2.478 12.920 2.478 2.478 -12.920" Properties=species:S:1:pos:R:3 pbc="T T T"
Ba 0.000 0.000 0.000
Ba 0.000 2.478 6.460
Ca 0.000 0.000 14.849
Ca 2.478 0.000 4.531
Ca 0.000 0.000 10.991
Ca 2.478 0.000 8.389
```

Symmetry ... I4_1/amd
VASP energy ... -5.20 eV/f.u.



(13)
## Ba3Ca (PBE)

Data for a geometry-optimized Ba3Ca structure.

Structure (extended XYZ):
```
4
Lattice="-1.277 -2.907 -2.792 3.272 1.973 -1.811 8.366 -8.891 5.430" Properties=species:S:1:pos:R:3 pbc="T T T"
Ca 3.089 -2.690 -0.944
Ba 0.120 -0.127 0.078
Ba 7.272 -7.135 1.771
Ba 4.063 -4.318 2.637
```

Symmetry ... Cmmm
VASP energy ... -7.66 eV/f.u.



(14)
## BaCa6 (PBE)

Data for a geometry-optimized BaCa6 structure.

Structure (extended XYZ):
```
7
Lattice="-3.929 6.131 -3.957 3.424 -5.119 -5.545 -5.417 -4.199 4.659" Properties=species:S:1:pos:R:3 pbc="T T T"
Ba 0.000 0.000 0.000
Ca -1.122 -4.406 -2.819
Ca -0.750 -1.823 -4.973
Ca -3.333 -4.176 -0.268
Ca -4.799 1.219 -2.025
Ca -5.171 -1.363 0.129
Ca -2.589 0.989 -4.576
```

Symmetry ... Im-3m
VASP energy ... -8.34 eV/f.u.



(15)
## BaCa (PBE)

Data for a geometry-optimized BaCa structure.

Structure (extended XYZ):
```
2
Lattice="-3.546 -2.052 0.746 -1.329 -2.902 -2.676 1.881 -6.451 2.820" Properties=species:S:1:pos:R:3 pbc="T T T"
Ba 0.000 0.000 0.000
Ca -1.498 -5.702 0.445
```

Symmetry ... R-3m
VASP energy ... -3.82 eV/f.u.



(16)
## BaCa11 (PBE)

Data for a geometry-optimized BaCa11 structure.

Structure (extended XYZ):
```
12
Lattice="-1.376 -2.960 2.028 10.013 -6.910 -3.291 0.346 7.010 10.468" Properties=species:S:1:pos:R:3 pbc="T T T"
Ba 0.000 0.000 0.000
Ca 5.006 -3.455 -1.645
Ca 0.173 3.505 5.234
Ca 5.180 0.050 3.589
Ca 1.210 -0.220 4.142
Ca 2.923 -2.687 1.703
Ca 7.611 -5.922 0.162
Ca 1.372 3.062 9.043
Ca 6.060 -0.173 7.502
Ca 7.773 -2.641 5.063
Ca 6.791 -2.270 1.295
Ca 3.568 2.370 5.882
```

Symmetry ... P6/mmm
VASP energy ... -23.50 eV/f.u.



(17)
## Ba7Ca (PBE)

Data for a geometry-optimized Ba7Ca structure.

Structure (extended XYZ):
```
8
Lattice="8.842 0.000 0.000 4.421 7.658 0.000 4.421 2.553 7.220" Properties=species:S:1:pos:R:3 pbc="T T T"
Ba 6.632 1.276 3.610
Ba 6.632 3.829 0.000
Ba 4.421 0.000 0.000
Ba 2.211 3.829 0.000
Ba 2.211 1.276 3.610
Ba 4.421 5.105 3.610
Ba 8.842 5.105 3.610
Ca 0.000 0.000 0.000
```

Symmetry ... Fm-3m
VASP energy ... -15.18 eV/f.u.



(18)
## Ba4Ca5 (PBE)

Data for a geometry-optimized Ba4Ca5 structure.

Structure (extended XYZ):
```
9
Lattice="-3.015 -1.644 -4.631 -7.036 -5.486 2.938 -6.752 6.367 -1.455" Properties=species:S:1:pos:R:3 pbc="T T T"
Ba -6.613 -0.793 -2.592
Ba -6.519 3.141 -4.051
Ba -10.095 3.980 -2.020
Ba -10.190 0.046 -0.562
Ca -7.033 -5.363 2.893
Ca -6.944 -1.659 1.520
Ca -6.847 2.416 0.009
Ca -6.815 -4.727 -1.063
Ca -10.178 -3.939 0.844
```

Symmetry ... I4/mmm
VASP energy ... -17.34 eV/f.u.



(19)
## BaCa5 (PBE)

Data for a geometry-optimized BaCa5 structure.

Structure (extended XYZ):
```
6
Lattice="-1.745 0.215 -3.602 1.080 -3.787 -0.749 -14.539 -5.477 6.718" Properties=species:S:1:pos:R:3 pbc="T T T"
Ba -0.332 -1.786 -2.176
Ca -11.841 -4.460 5.471
Ca -2.699 -1.017 1.247
Ca -9.871 -5.379 2.232
Ca -5.333 -3.670 0.135
Ca -7.270 -2.739 3.359
```

Symmetry ... P4/mmm
VASP energy ... -11.80 eV/f.u.



(20)
## Ba2Ca (PBE)

Data for a geometry-optimized Ba2Ca structure.

Structure (extended XYZ):
```
6
Lattice="7.872 0.010 0.000 -4.284 6.604 0.000 -1.794 -3.307 6.914" Properties=species:S:1:pos:R:3 pbc="T T T"
Ba 1.094 -0.593 3.457
Ba 0.700 3.900 3.457
Ba -3.039 1.649 5.670
Ba 4.833 1.658 1.245
Ca 2.691 4.960 0.000
Ca 0.897 1.653 0.000
```

Symmetry ... I4/mcm
VASP energy ... -5.57 eV/f.u.



(21)
## Ba3Ca5 (PBE)

Data for a geometry-optimized Ba3Ca5 structure.

Structure (extended XYZ):
```
8
Lattice="-2.901 -7.097 -3.275 4.990 1.273 -6.557 4.193 -2.924 2.623" Properties=species:S:1:pos:R:3 pbc="T T T"
Ba 1.044 -2.912 -4.916
Ba 1.116 -6.523 -2.762
Ba 5.166 -2.226 -4.447
Ca 0.000 0.000 0.000
Ca 2.495 0.636 -3.279
Ca -1.451 -3.549 -1.637
Ca 2.603 -2.874 -1.073
Ca 3.679 -5.874 -6.137
```

Symmetry ... Cmmm
VASP energy ... -15.48 eV/f.u.



(22)
## BaCa (PBE)

Data for a geometry-optimized BaCa structure.

Structure (extended XYZ):
```
4
Lattice="-1.271 3.403 1.523 -1.877 -5.475 5.574 8.635 4.781 -3.475" Properties=species:S:1:pos:R:3 pbc="T T T"
Ba 1.249 2.441 0.682
Ba 4.239 0.267 2.940
Ca 0.426 -1.168 2.965
Ca 5.062 3.876 0.656
```

Symmetry ... C2/m
VASP energy ... -3.70 eV/f.u.



(23)
## BaCa2 (PBE)

Data for a geometry-optimized BaCa2 structure.

Structure (extended XYZ):
```
3
Lattice="9.007 -0.065 0.000 7.132 5.501 0.000 -8.070 -2.718 2.937" Properties=species:S:1:pos:R:3 pbc="T T T"
Ca 5.232 1.762 0.000
Ca 10.907 3.674 0.000
Ba 0.000 0.000 0.000
```

Symmetry ... I4/mmm
VASP energy ... -5.82 eV/f.u.



(24)
## Ba2Ca (PBE)

Data for a geometry-optimized Ba2Ca structure.

Structure (extended XYZ):
```
3
Lattice="4.055 0.000 0.000 0.000 6.861 0.000 0.000 -3.430 5.941" Properties=species:S:1:pos:R:3 pbc="T T T"
Ba 0.000 0.000 3.961
Ba 0.000 3.430 1.980
Ca 2.028 0.000 0.000
```

Symmetry ... P6/mmm
VASP energy ... -5.58 eV/f.u.